[1]
First-principles (meta-GGA SCAN) data for a crystal of CoCu2Ir relaxed with PBEsol, as listed in Alexandria via LeMat-Bulk.

For the formation enthalpy at 0 K, the calculation gives 0.80 eV per formula unit. As for the offset from the most stable computed form: 0.50 eV/f.u. As for the magnetization: 1.97 μB per formula unit. The symmetry is Cmmm (65).

Unit cell a=2.5474 b=2.5474 c=8.5888 alpha=90.00 beta=90.00 gamma=118.00
Closest atoms and distances in Å follow each position.
Fractional positions:
Ir  0.5000  0.5000  0.5000  6 Ir 2.55-2.62, 4 Cu 2.60
Cu  0.0000  0.0000  0.2390  2 Co 2.44, 6 Cu 2.55-2.62, 2 Ir 2.60
Cu  0.0000  0.0000  0.7610  2 Co 2.44, 6 Cu 2.55-2.62, 2 Ir 2.60
Co  0.5000  0.5000  0.0000  4 Cu 2.44, 6 Co 2.55-2.62

=====

[2]
First-principles (meta-GGA SCAN) data for a crystal of CoCuIr2 relaxed with PBEsol, as listed in Alexandria via LeMat-Bulk.

For the formation enthalpy at 0 K, the calculation gives 0.14 eV per formula unit. As for the offset from the most stable computed form: 0.00 eV/f.u. As for the magnetization: 2.66 μB per formula unit. The symmetry is R-3m (166).

Unit cell a=2.6509 b=2.6509 c=8.4966 alpha=81.03 beta=81.03 gamma=60.00
Closest atoms and distances in Å follow each position.
Fractional positions:
Ir  0.7477  0.7477  0.7569  3 Co 2.54, 3 Cu 2.64, 6 Ir 2.65
Ir  0.2523  0.2523  0.2431  3 Co 2.54, 3 Cu 2.64, 6 Ir 2.65
Cu  0.5000  0.5000  0.5000  6 Ir 2.64, 6 Cu 2.65
Co  0.0000  0.0000  0.0000  6 Ir 2.54, 6 Co 2.65

=====

[3]
First-principles (meta-GGA SCAN) data for a crystal of CoCuIr relaxed with PBEsol, as listed in Alexandria via LeMat-Bulk.

For the formation enthalpy at 0 K, the calculation gives 0.62 eV per formula unit. As for the magnetization: 2.48 μB per formula unit. The symmetry is P3m1 (156).

Unit cell a=2.5474 b=4.0581 c=4.0581 alpha=120.00 beta=90.00 gamma=90.00
Closest atoms and distances in Å follow each position.
Fractional positions:
Cu  0.8470  0.6667  0.3333  3 Co 2.34, 2 Cu 2.55
Ir  0.3322  0.3333  0.6667  2 Ir 2.55, 6 Cu 2.65-2.68, 6 Co 2.65-2.68
Co  0.8208  0.0000  0.0000  3 Cu 2.34, 2 Co 2.55

=====

[4]
First-principles (meta-GGA SCAN) data for a crystal of CoCuIr2 relaxed with PBEsol, as listed in Alexandria via LeMat-Bulk.

For the formation enthalpy at 0 K, the calculation gives 0.21 eV per formula unit. As for the offset from the most stable computed form: 0.07 eV/f.u. As for the magnetization: 2.55 μB per formula unit. The symmetry is C2/m (12).

Unit cell a=2.6508 b=4.4538 c=4.5867 alpha=99.98 beta=90.00 gamma=107.31
Closest atoms and distances in Å follow each position.
Fractional positions:
Ir  0.7447  0.4894  0.7462  3 Co 2.55-2.62, 3 Cu 2.56-2.63, 6 Ir 2.63-2.67
Ir  0.2553  0.5106  0.2538  3 Co 2.55-2.62, 3 Cu 2.56-2.63, 6 Ir 2.63-2.67
Co  0.0000  0.0000  0.5000  6 Ir 2.55-2.62, 4 Cu 2.65, 2 Co 2.65
Cu  0.5000  0.0000  0.0000  6 Ir 2.56-2.63, 4 Co 2.65, 2 Cu 2.65

=====

[5]
First-principles (meta-GGA SCAN) data for a crystal of CoCuIr2 relaxed with PBEsol, as listed in Alexandria via LeMat-Bulk.

For the formation enthalpy at 0 K, the calculation gives 0.61 eV per formula unit. As for the offset from the most stable computed form: 0.47 eV/f.u. As for the magnetization: 0.01 μB per formula unit. The symmetry is P4/mmm (123).

Unit cell a=2.6398 b=2.6398 c=7.1633 alpha=90.00 beta=90.00 gamma=90.00
Closest atoms and distances in Å follow each position.
Fractional positions:
Co  0.5000  0.5000  0.0000  8 Ir 2.53, 4 Co 2.64
Cu  0.5000  0.5000  0.5000  4 Cu 2.64, 8 Ir 2.64
Ir  0.0000  0.0000  0.7612  4 Co 2.53, 4 Ir 2.64, 4 Cu 2.64
Ir  0.0000  0.0000  0.2388  4 Co 2.53, 4 Ir 2.64, 4 Cu 2.64

=====

[6]
First-principles (meta-GGA SCAN) data for a crystal of Co2CuIr relaxed with PBEsol, as listed in Alexandria via LeMat-Bulk.

For the formation enthalpy at 0 K, the calculation gives 0.34 eV per formula unit. As for the magnetization: 4.29 μB per formula unit. The symmetry is Pmm2 (25).

Unit cell a=2.5865 b=4.1205 c=4.3883 alpha=90.00 beta=90.00 gamma=90.00
Closest atoms and distances in Å follow each position.
Fractional positions:
Co  0.0000  0.0000  0.0391  4 Cu 2.50-2.59, 4 Co 2.53-2.59, 4 Ir 2.54
Co  0.0000  0.5000  0.7055  4 Cu 2.52, 4 Co 2.53-2.59, 4 Ir 2.54-2.55
Ir  0.5000  0.5000  0.2040  8 Co 2.54-2.55, 2 Cu 2.56, 2 Ir 2.59
Cu  0.5000  0.0000  0.5515  8 Co 2.50-2.59, 2 Ir 2.56, 2 Cu 2.59

=====

[7]
First-principles (meta-GGA SCAN) data for a crystal of Co2CuIr relaxed with PBEsol, as listed in Alexandria via LeMat-Bulk.

For the formation enthalpy at 0 K, the calculation gives 0.38 eV per formula unit. As for the magnetization: 4.22 μB per formula unit. The symmetry is R3m (160).

Unit cell a=2.5835 b=2.5835 c=8.3483 alpha=81.10 beta=81.10 gamma=60.00
Closest atoms and distances in Å follow each position.
Fractional positions:
Co  0.7474  0.7474  0.7579  9 Co 2.41-2.58, 3 Cu 2.52
Co  0.0041  0.0041  0.9876  9 Co 2.41-2.58, 3 Ir 2.58
Ir  0.2522  0.2522  0.2435  3 Co 2.58, 6 Ir 2.58, 3 Cu 2.66
Cu  0.4963  0.4963  0.5111  3 Co 2.52, 6 Cu 2.58, 3 Ir 2.66

=====

[8]
First-principles (meta-GGA SCAN) data for a crystal of CoCu2Ir relaxed with PBEsol, as listed in Alexandria via LeMat-Bulk.

For the formation enthalpy at 0 K, the calculation gives 0.30 eV per formula unit. As for the offset from the most stable computed form: 0.00 eV/f.u. As for the magnetization: 2.48 μB per formula unit. The symmetry is R3m (160).

Unit cell a=2.6022 b=2.6022 c=8.3720 alpha=81.06 beta=81.06 gamma=60.00
Closest atoms and distances in Å follow each position.
Fractional positions:
Cu  0.9991  0.9991  0.0026  3 Co 2.50, 9 Cu 2.51-2.60
Cu  0.7471  0.7471  0.7588  9 Cu 2.51-2.60, 3 Ir 2.66
Co  0.2514  0.2514  0.2457  3 Cu 2.50, 3 Ir 2.53, 6 Co 2.60
Ir  0.5024  0.5024  0.4929  3 Co 2.53, 6 Ir 2.60, 3 Cu 2.66